Entry 1:
Crystalline La5ZnOs2 at its relaxed geometry, computed with PBE.

It has space group I4/mcm (No. 140), with a = 8.0503 Å, b = 8.0503 Å, c = 14.0385 Å, α = 90.00°, β = 90.00° and γ = 90.00°. The inequivalent atoms are La at (0.0000, 0.0000, 0.0000), La at (0.1630, 0.3370, 0.1310), Zn at (0.0000, 0.0000, 0.2500) and Os at (0.1373, 0.3627, 0.5000).

The calculation puts the total DFT energy (no corrections) at -6.25 eV/atom.

Entry 2:
Crystalline La4ZnOs at its relaxed geometry, computed with PBE.

It has space group C2/c (No. 15), with a = 9.3740 Å, b = 15.0704 Å, c = 7.0528 Å, α = 90.00°, β = 126.87° and γ = 90.00°. The inequivalent atoms are La at (0.1631, 0.2155, 0.1588), La at (0.2344, 0.0368, 0.7390), Zn at (0.0000, 0.3768, 0.7500) and Os at (0.0000, 0.0913, 0.2500).

The polymorph energy (0 for the lowest one) is 86.9 meV per atom.

M_tot list, top to bottom, in μB/f.u.: 0.000 0.000